(1)
! Cu2ReCl (PBE, optimized geometry); values from VASP
&SYSTEM
  ibrav = 0, nat = 4, ntyp = 3
/
ATOMIC_SPECIES
Cu 63.55 Cu.upf
Re 186.21 Re.upf
Cl 35.45 Cl.upf
ATOMIC_POSITIONS angstrom
Cu 0.000 0.000 1.796
Cu 0.000 0.000 5.784
Re 1.400 1.402 0.000
Cl 0.000 1.402 3.790
CELL_PARAMETERS angstrom
2.799 0.000 0.000
0.000 2.804 0.000
0.000 0.000 7.580
! * energy: -21.1 eV/cell
! * polymorph energy (0 for the lowest one): 3 kJ/mol of formula units
! * SG: Pmmm
! * raw formation energy: 0.344 eV per atom
! * D(E_F): 1.89 states/eV/f.u.

(2)
! PmEr4Al2 (PBE, optimized geometry); values from VASP
&SYSTEM
  ibrav = 0, nat = 7, ntyp = 3
/
ATOMIC_SPECIES
Pm 145.00 Pm.upf
Er 167.26 Er.upf
Al 26.98 Al.upf
ATOMIC_POSITIONS angstrom
Pm 0.000 0.000 0.000
Er 1.673 2.590 2.877
Er 3.346 3.505 5.753
Er 3.346 6.854 5.753
Er 5.019 7.770 8.630
Al 3.346 5.180 3.170
Al 3.346 5.180 8.336
CELL_PARAMETERS angstrom
0.000 5.180 5.753
3.346 0.000 5.753
3.346 5.180 0.000
! * energy: -30.8 eV/cell
! * SG: Fmmm
! * D(E_F): 8.74 states/eV/f.u.

(3)
! TiReGe4 (PBE, optimized geometry); values from VASP
&SYSTEM
  ibrav = 0, nat = 12, ntyp = 3
/
ATOMIC_SPECIES
Ti 47.87 Ti.upf
Re 186.21 Re.upf
Ge 72.64 Ge.upf
ATOMIC_POSITIONS angstrom
Ti 0.000 0.000 0.000
Ti -0.716 3.885 2.300
Re 2.781 0.000 0.000
Re 2.065 3.885 2.300
Ge -0.038 1.227 2.686
Ge 0.678 2.658 0.386
Ge 0.658 5.148 4.427
Ge 1.374 6.507 2.127
Ge 2.757 1.263 2.474
Ge 3.473 2.622 0.174
Ge 3.453 5.112 4.215
Ge 4.169 6.543 1.915
CELL_PARAMETERS angstrom
5.562 0.000 0.000
0.000 7.770 0.000
-1.432 0.000 4.600
! * energy: -76.0 eV/cell
! * SG: P2_1/c
! * D(E_F): 4.18 states/eV/f.u.

(4)
! CuBr2N (PBE, optimized geometry); values from VASP
&SYSTEM
  ibrav = 0, nat = 4, ntyp = 3
/
ATOMIC_SPECIES
Cu 63.55 Cu.upf
Br 79.90 Br.upf
N 14.01 N.upf
ATOMIC_POSITIONS angstrom
Cu 0.000 0.000 0.000
Br 0.000 0.000 2.206
Br 0.000 0.000 19.669
N 0.000 0.000 10.938
CELL_PARAMETERS angstrom
2.090 1.207 7.292
-2.090 1.207 7.292
0.000 -2.413 7.292
! * energy: -10.7 eV/cell
! * polymorph energy (0 for the lowest one): 56 kJ/mol of formula units
! * SG: R-3m
! * raw formation energy: 1.257 eV per atom
! * D(E_F): 3.60 states/eV/f.u.

(5)
! HoLuPd (PBE, optimized geometry); values from VASP
&SYSTEM
  ibrav = 0, nat = 3, ntyp = 3
/
ATOMIC_SPECIES
Ho 164.93 Ho.upf
Lu 174.97 Lu.upf
Pd 106.42 Pd.upf
ATOMIC_POSITIONS angstrom
Ho 0.000 0.000 0.000
Lu 0.000 0.000 8.716
Pd 0.000 0.000 4.279
CELL_PARAMETERS angstrom
-1.748 1.748 6.029
1.748 -1.748 6.029
1.748 1.748 -6.029
! * energy: -16.1 eV/cell
! * polymorph energy (0 for the lowest one): 0 kJ/mol of formula units
! * SG: I4mm
! * D(E_F): 2.11 states/eV/f.u.

(6)
! PrThAu4 (PBE, optimized geometry); values from VASP
&SYSTEM
  ibrav = 0, nat = 6, ntyp = 3
/
ATOMIC_SPECIES
Pr 140.91 Pr.upf
Th 232.04 Th.upf
Au 196.97 Au.upf
ATOMIC_POSITIONS angstrom
Pr 0.000 0.000 0.000
Th 0.000 2.391 4.159
Au 1.770 0.000 2.782
Au 1.770 0.000 5.537
Au 1.770 2.391 1.391
Au 1.770 2.391 6.928
CELL_PARAMETERS angstrom
3.540 0.000 0.000
0.000 4.782 0.000
0.000 0.000 8.319
! * energy: -29.7 eV/cell
! * polymorph energy (0 for the lowest one): 0 kJ/mol of formula units
! * SG: Pmmm
! * D(E_F): 4.41 states/eV/f.u.

(7)
! LiTiFe2Re (PBE, optimized geometry); values from VASP
&SYSTEM
  ibrav = 0, nat = 5, ntyp = 4
/
ATOMIC_SPECIES
Li 6.94 Li.upf
Ti 47.87 Ti.upf
Fe 55.84 Fe.upf
Re 186.21 Re.upf
ATOMIC_POSITIONS angstrom
Li 0.000 0.000 0.000
Ti 2.302 2.302 0.000
Fe 0.000 2.302 2.345
Fe 2.302 0.000 2.345
Re 2.302 2.302 2.345
CELL_PARAMETERS angstrom
4.604 0.000 0.000
0.000 4.604 0.000
0.000 0.000 4.689
! * energy: -34.1 eV/cell
! * SG: P4/mmm
! * D(E_F): 5.42 states/eV/f.u.

(8)
! AcPm6Dy2Ho (PBE, optimized geometry); values from VASP
&SYSTEM
  ibrav = 0, nat = 20, ntyp = 4
/
ATOMIC_SPECIES
Ac 227.00 Ac.upf
Pm 145.00 Pm.upf
Dy 162.50 Dy.upf
Ho 164.93 Ho.upf
ATOMIC_POSITIONS angstrom
Ac 3.967 7.313 7.238
Ac 4.443 -7.313 2.413
Pm 2.002 4.229 6.607
Pm 4.067 4.854 0.529
Pm 4.819 4.854 4.297
Pm 2.894 1.695 8.517
Pm 5.931 4.229 7.869
Pm 5.040 1.695 5.959
Pm 3.370 -1.695 3.692
Pm 2.478 -4.229 1.782
Pm 5.516 -1.695 1.134
Pm 3.591 -4.854 5.354
Pm 4.343 -4.854 9.122
Pm 6.407 -4.229 3.044
Dy 1.913 0.861 5.284
Dy 2.389 -0.861 0.459
Dy 6.021 0.861 9.192
Dy 6.497 -0.861 4.366
Ho 4.443 1.352 2.413
Ho 3.967 -1.352 7.238
CELL_PARAMETERS angstrom
4.681 -7.734 0.000
4.681 7.734 0.000
-0.952 0.000 9.651
! * energy: -90.4 eV/cell
! * SG: C2/c
! * D(E_F): 14.17 states/eV/f.u.